# 1
AlC2: relaxed, PBE-GGA.

It has space group Pnma (No. 62), with a = 4.500 Å, b = 2.587 Å, c = 9.586 Å, α = 90.00°, β = 90.00° and γ = 90.00°. The asymmetric unit holds Al at (0.176, 0.250, 0.130), C at (0.161, 0.250, 0.354) and C at (0.221, 0.250, 0.906).

The calculation puts the distance to the lowest polymorph of the same formula at 311 meV/atom. The formation energy is 598 meV/atom.



# 2
AcDySb2Rh5: relaxed, PBE-GGA.

It has space group P4/mmm (No. 123), with a = 4.536 Å, b = 4.536 Å, c = 9.051 Å, α = 90.00°, β = 90.00° and γ = 90.00°. The asymmetric unit holds Ac at (0.000, 0.000, 0.000), Dy at (0.000, 0.000, 0.500), Sb at (0.500, 0.500, 0.344), Rh at (0.000, 0.500, 0.227) and Rh at (0.500, 0.500, 0.000).



# 3
TbPm3Nd6Dy2: relaxed, PBE-GGA.

It has space group C2/m (No. 12), with a = 6.317 Å, b = 10.943 Å, c = 12.021 Å, α = 90.00°, β = 100.09° and γ = 90.00°. The asymmetric unit holds Tb at (0.000, 0.000, 0.000), Pm at (0.000, 0.167, 0.500), Pm at (0.000, 0.500, 0.500), Nd at (0.249, 0.500, 0.247), Nd at (0.250, 0.167, 0.247) and Dy at (0.000, 0.333, 0.000).

The formation energy is 13 meV/atom.



# 4
Cs3CuI4: relaxed, PBE-GGA.

It has space group Pmn2_1 (No. 31), with a = 11.359 Å, b = 9.894 Å, c = 8.975 Å, α = 90.00°, β = 90.00° and γ = 90.00°. The asymmetric unit holds Cs at (0.000, 0.128, 0.000), Cs at (0.238, 0.328, 0.492), Cu at (0.000, 0.818, 0.489), I at (0.000, 0.076, 0.578), I at (0.000, 0.795, 0.194) and I at (0.200, 0.700, 0.580).



# 5
TiNi: relaxed, PBE-GGA.

It has space group P4/nmm (No. 129, origin choice 2), with a = 3.107 Å, b = 3.107 Å, c = 5.680 Å, α = 90.00°, β = 90.00° and γ = 90.00°. The asymmetric unit holds Ti at (0.250, 0.250, 0.161) and Ni at (0.250, 0.250, 0.627).

The formation energy is -304 meV/atom.



# 6
Cs2Li3ThH12: relaxed, PBE-GGA.

It has space group R-3m (No. 166, hexagonal axes), with a = 7.4542 Å, b = 7.4542 Å, c = 15.7815 Å, α = 90.00°, β = 90.00° and γ = 120.00°. The asymmetric unit holds Cs at (0.0000, 0.0000, 0.1124), Li at (0.0000, 0.5000, 0.0000), Th at (0.0000, 0.0000, 0.5000), H at (0.0028, 0.5014, 0.1143) and H at (0.1054, 0.5527, 0.2849).



For each record above, in turn, the calculated final energy values are -6.7989, -6.4615, -4.7115, -2.7121, -7.1422, -3.0384 eV/atom.
For each record above, in turn, the calculated N(E_F) values are 0.74, 5.12, 16.20, 0.00, 2.39, 6.93 states/eV/f.u..